[1]
Entry from the Alexandria database: a relaxed MnCoCl2 crystal (PBE-GGA).

abc: 7.0307 7.0307 7.0307
angles: 150.92 148.71 43.24
Closest atoms and distances in Å follow each position.
Fractional positions:
1 Cl 0.3765 0.3765 0.0000  2 Co 2.42, 2 Mn 2.52
2 Cl 0.1235 0.1235 0.0000  2 Co 2.42, 2 Mn 2.52
3 Mn 0.7500 0.2500 0.5000  4 Cl 2.52, 4 Co 2.59
4 Co 0.2500 0.7500 0.5000  4 Cl 2.42, 4 Mn 2.59

Formation energy without anion corrections: -0.27 eV/atom
D(E_F): 1.5 states/eV/f.u.
Total magnetization: 6.00 Bohr magnetons per cell
Crystal system: orthorhombic

[2]
Entry from the Alexandria database: a relaxed MnCoCl2 crystal (PBE-GGA).

abc: 3.7975 3.5182 5.3272
angles: 92.60 90.00 90.00
Closest atoms and distances in Å follow each position.
Fractional positions:
1 Mn 0.5000 0.7500 0.7500  4 Cl 2.51
2 Cl 0.0000 0.4806 0.4917  2 Co 2.41, 2 Mn 2.51
3 Cl 0.0000 0.0194 0.0083  2 Co 2.41, 2 Mn 2.51
4 Co 0.5000 0.2500 0.2500  4 Cl 2.41

Formation energy without anion corrections: 0.10 eV/atom
D(E_F): 1.8 states/eV/f.u.
Total magnetization: 6.06 Bohr magnetons per cell
Crystal system: monoclinic

[3]
Entry from the Alexandria database: a relaxed MnCo2Cl crystal (PBE-GGA).

abc: 4.5714 4.5714 2.8558
angles: 90.00 90.00 115.94
Closest atoms and distances in Å follow each position.
Fractional positions:
1 Cl 0.0000 0.5000 0.5000  2 Mn 2.42, 8 Co 2.70
2 Co 0.0000 0.0000 0.0000  2 Co 2.42, 4 Mn 2.70, 4 Cl 2.70
3 Co 0.5000 0.5000 0.0000  2 Co 2.42, 4 Cl 2.70, 4 Mn 2.70
4 Mn 0.5000 0.0000 0.5000  2 Cl 2.42, 8 Co 2.70

Formation energy without anion corrections: 0.57 eV/atom
D(E_F): 4.0 states/eV/f.u.
Total magnetization: 7.07 Bohr magnetons per cell
Crystal system: orthorhombic

[4]
Entry from the Alexandria database: a relaxed MnCo2Cl8 crystal (PBE-GGA).

abc: 8.3811 9.9674 9.9546
angles: 72.76 65.10 65.14
Closest atoms and distances in Å follow each position.
Fractional positions:
1 Mn 0.9754 0.7500 0.2500  6 Cl 2.31-2.57
2 Mn 0.0246 0.2500 0.7500  6 Cl 2.31-2.57
3 Cl 0.7088 0.9477 0.1906  1 Co 2.25, 1 Mn 2.44
4 Cl 0.8390 0.7776 0.5000  1 Co 2.30, 1 Mn 2.31
5 Cl 0.1255 0.9393 0.2204  1 Co 2.20
6 Cl 0.3931 0.7492 0.5628  1 Co 2.11
7 Cl 0.2852 0.5607 0.2796  1 Co 2.20
8 Cl 0.2950 0.2492 0.0628  1 Co 2.11
9 Cl 0.1165 0.7224 0.0000  1 Co 2.30, 1 Mn 2.31
10 Cl 0.7148 0.4393 0.7204  1 Co 2.20
11 Cl 0.7050 0.7508 0.9372  1 Co 2.11
12 Cl 0.1610 0.2224 0.5000  1 Co 2.30, 1 Mn 2.31
13 Cl 0.8835 0.2776 0.0000  1 Co 2.30, 1 Mn 2.31
14 Cl 0.2912 0.0523 0.8094  1 Co 2.25, 1 Mn 2.44
15 Cl 0.1528 0.4477 0.6906  1 Co 2.25, 1 Mn 2.44
16 Cl 0.8472 0.5523 0.3094  1 Co 2.25, 1 Mn 2.44
17 Cl 0.6069 0.2508 0.4372  1 Co 2.11
18 Cl 0.8745 0.0607 0.7796  1 Co 2.20
19 Co 0.6773 0.6247 0.5370  4 Cl 2.11-2.30
20 Co 0.1609 0.1247 0.0370  4 Cl 2.11-2.30
21 Co 0.8391 0.8753 0.9630  4 Cl 2.11-2.30
22 Co 0.3227 0.3753 0.4630  4 Cl 2.11-2.30

Formation energy without anion corrections: -0.64 eV/atom
D(E_F): 11.1 states/eV/f.u.
Total magnetization: 22.45 Bohr magnetons per cell
Crystal system: monoclinic

[5]
Entry from the Alexandria database: a relaxed MnCoCl2 crystal (PBE-GGA).

abc: 3.0679 3.0679 8.1058
angles: 90.00 90.00 90.00
Closest atoms and distances in Å follow each position.
Fractional positions:
1 Mn 0.5000 0.5000 0.7267  4 Cl 2.62, 4 Co 2.82
2 Cl 0.5000 0.5000 0.3603  4 Co 2.47
3 Cl 0.0000 0.0000 0.9075  4 Mn 2.62
4 Co 0.0000 0.0000 0.5054  4 Cl 2.47

Formation energy without anion corrections: -0.13 eV/atom
D(E_F): 2.0 states/eV/f.u.
Total magnetization: 6.34 Bohr magnetons per cell
Crystal system: tetragonal

[6]
Entry from the Alexandria database: a relaxed MnCo2Cl crystal (PBE-GGA).

abc: 7.7669 7.7669 7.7669
angles: 21.84 21.84 21.84
Closest atoms and distances in Å follow each position.
Fractional positions:
1 Co 0.2514 0.2514 0.2514  3 Co 2.39, 3 Mn 2.54
2 Co 0.9919 0.9919 0.9919  3 Co 2.39
3 Mn 0.5019 0.5019 0.5019  3 Cl 2.50, 3 Co 2.54
4 Cl 0.7548 0.7548 0.7548  3 Mn 2.50, 3 Co 2.77

Formation energy without anion corrections: 0.27 eV/atom
D(E_F): 2.7 states/eV/f.u.
Total magnetization: 7.46 Bohr magnetons per cell
Crystal system: trigonal

[7]
Entry from the Alexandria database: a relaxed MnCo2Cl crystal (PBE-GGA).

abc: 5.4832 5.4832 5.6816
angles: 61.15 61.15 90.00
Closest atoms and distances in Å follow each position.
Fractional positions:
1 Co 0.6363 0.1250 0.2500  2 Mn 2.16, 2 Cl 2.24
2 Co 0.1137 0.6250 0.2500  2 Mn 2.16, 2 Cl 2.24
3 Co 0.3750 0.3637 0.7500  2 Mn 2.16, 2 Cl 2.24
4 Co 0.8750 0.8863 0.7500  2 Mn 2.16, 2 Cl 2.24
5 Mn 0.7500 0.2500 0.5000  4 Co 2.16
6 Mn 0.0000 0.0000 0.0000  4 Co 2.16
7 Cl 0.2500 0.7500 0.5000  4 Co 2.24
8 Cl 0.5000 0.5000 0.0000  4 Co 2.24

Formation energy without anion corrections: 0.83 eV/atom
D(E_F): 5.1 states/eV/f.u.
Total magnetization: 2.09 Bohr magnetons per cell
Crystal system: tetragonal

[8]
Entry from the Alexandria database: a relaxed MnCoCl2 crystal (PBE-GGA).

abc: 4.6782 4.6782 6.5006
angles: 91.03 91.03 41.42
Closest atoms and distances in Å follow each position.
Fractional positions:
1 Co 0.5620 0.5620 0.3342  3 Cl 2.23-2.29, 1 Mn 2.41
2 Cl 0.6875 0.6875 0.6359  1 Co 2.23, 2 Mn 2.45
3 Cl 0.9592 0.9592 0.1322  2 Co 2.29
4 Mn 0.2913 0.2913 0.3977  3 Co 2.41-2.63, 2 Cl 2.45

Formation energy without anion corrections: -0.16 eV/atom
D(E_F): 0.6 states/eV/f.u.
Total magnetization: 6.00 Bohr magnetons per cell
Crystal system: monoclinic

[9]
Entry from the Alexandria database: a relaxed MnCo2Cl crystal (PBE-GGA).

abc: 2.9498 2.9498 6.7917
angles: 90.00 90.00 89.99
Closest atoms and distances in Å follow each position.
Fractional positions:
1 Co 0.0000 0.0000 0.0683  4 Co 2.38
2 Co 0.5000 0.5000 0.2369  4 Co 2.38, 4 Mn 2.64
3 Cl 0.5000 0.5000 0.7192  4 Mn 2.66, 4 Cl 2.95
4 Mn 0.0000 0.0000 0.4755  5 Co 2.64-2.77, 4 Cl 2.66, 4 Mn 2.95

Formation energy without anion corrections: 0.22 eV/atom
D(E_F): 3.0 states/eV/f.u.
Total magnetization: 7.67 Bohr magnetons per cell
Crystal system: tetragonal

[10]
Entry from the Alexandria database: a relaxed Mn3CoCl crystal (PBE-GGA).

abc: 4.6049 4.6049 4.6049
angles: 90.00 90.00 90.00
Closest atoms and distances in Å follow each position.
Fractional positions:
1 Co 0.0000 0.0000 0.0000  6 Mn 2.30
2 Cl 0.5000 0.5000 0.5000  12 Mn 3.26
3 Mn 0.0000 0.0000 0.5000  2 Co 2.30
4 Mn 0.0000 0.5000 0.0000  2 Co 2.30
5 Mn 0.5000 0.0000 0.0000  2 Co 2.30

Formation energy without anion corrections: 0.76 eV/atom
D(E_F): 3.8 states/eV/f.u.
Total magnetization: 13.27 Bohr magnetons per cell
Crystal system: cubic

[11]
Entry from the Alexandria database: a relaxed MnCo2Cl crystal (PBE-GGA).

abc: 4.6918 3.4868 3.4868
angles: 90.00 90.00 90.00
Closest atoms and distances in Å follow each position.
Fractional positions:
1 Mn 0.5000 0.5000 0.0000  4 Cl 2.47
2 Co 0.0000 0.5000 0.5000  4 Co 2.47
3 Co 0.0000 0.0000 0.0000  4 Co 2.47
4 Cl 0.5000 0.0000 0.5000  4 Mn 2.47

Formation energy without anion corrections: 0.58 eV/atom
D(E_F): 3.8 states/eV/f.u.
Total magnetization: 8.04 Bohr magnetons per cell
Crystal system: tetragonal

[12]
Entry from the Alexandria database: a relaxed MnCoCl2 crystal (PBE-GGA).

abc: 4.4076 4.4077 3.1661
angles: 90.00 90.00 89.99
Closest atoms and distances in Å follow each position.
Fractional positions:
1 Co 0.5000 0.0000 0.5000  8 Cl 2.71
2 Mn 0.0000 0.5000 0.5000  8 Cl 2.71
3 Cl 0.5000 0.5000 0.0000  4 Mn 2.71, 4 Co 2.71
4 Cl 0.0000 0.0000 0.0000  4 Co 2.71, 4 Mn 2.71

Formation energy without anion corrections: 0.24 eV/atom
D(E_F): 3.5 states/eV/f.u.
Total magnetization: 6.05 Bohr magnetons per cell
Crystal system: tetragonal